1.
4
Lattice="-1.783 -2.078 0.198 2.060 -0.235 -1.799 4.796 -3.548 5.956" Properties=species:S:1:pos:R:3 comment="SiRu2Rh (PBE-GGA, relaxed)" formation_energy_uncorrected_kj_per_mol_atoms=9.2 m_tot_mub_per_atom=0.000 dft_energy_ev_per_atom=-7.736 space_group="Cmmm, No. 65" pbc="T T T"
Rh 3.735 -3.817 3.667
Ru 0.117 -0.087 0.146
Ru 2.280 -1.687 2.832
Si 1.338 -2.043 0.689

2.
4
Lattice="2.679 -0.014 0.000 -1.294 2.346 0.000 0.000 0.000 8.479" Properties=species:S:1:pos:R:3 comment="Cu2SiRh (PBE-GGA, relaxed)" formation_energy_uncorrected_kj_per_mol_atoms=14.0 m_tot_mub_per_atom=0.058 dft_energy_ev_per_atom=-5.097 space_group="Cmmm, No. 65" pbc="T T T"
Cu 0.000 0.000 8.391
Cu 0.000 0.000 4.328
Rh 0.693 1.166 2.120
Si 0.693 1.166 6.360

3.
24
Lattice="-8.073 -1.260 -4.993 -8.209 -1.868 4.562 -6.911 6.620 0.323" Properties=species:S:1:pos:R:3 comment="Tb4AlOs (PBE-GGA, relaxed)" delta_e_f_ev_per_atom=-0.29 polymorph_energy_ev_per_atom=0.000 m_tot_mub_per_atom=0.000 dft_energy_ev_per_atom=-5.874 space_group="F-43m, No. 216" pbc="T T T"
Tb -9.286 1.398 -0.043
Tb -12.503 0.896 -2.033
Tb -12.557 0.654 1.775
Tb -12.040 4.037 0.085
Tb -15.568 4.519 0.066
Tb -19.221 0.720 -0.228
Tb -16.074 1.211 1.718
Tb -18.715 4.028 -1.881
Tb -16.021 1.448 -2.007
Tb -18.768 3.791 1.844
Tb -8.701 4.758 0.179
Tb -14.492 -1.266 -0.287
Tb -9.503 -0.487 2.799
Tb -13.690 3.980 -2.907
Tb -9.419 -0.112 -3.107
Tb -13.774 3.604 2.998
Al -4.032 0.607 -0.019
Al -6.491 0.223 -1.540
Al -6.533 0.038 1.371
Al -6.137 2.624 0.079
Os -14.175 2.134 -0.066
Os -10.585 2.695 2.154
Os -10.525 2.965 -2.095
Os -11.102 -0.809 -0.210

4.
7
Lattice="4.016 0.000 0.000 0.000 4.016 0.000 0.000 0.000 6.792" Properties=species:S:1:pos:R:3 comment="USiRh5 (PBE-GGA, relaxed)" polymorph_energy_ev_per_atom=0.000 formation_energy_uncorrected_kj_per_mol_atoms=-64.6 m_tot_mub_per_atom=0.000 dft_energy_ev_per_atom=-8.308 space_group="P4/mmm, No. 123" pbc="T T T"
U 0.000 0.000 3.396
Si 2.008 2.008 0.000
Rh 0.000 2.008 5.366
Rh 0.000 2.008 1.426
Rh 2.008 0.000 5.366
Rh 2.008 0.000 1.426
Rh 2.008 2.008 3.396

5.
11
Lattice="-0.641 1.872 3.962 -0.189 -2.521 3.636 21.737 1.856 5.117" Properties=species:S:1:pos:R:3 comment="Pr3Ho2Te6 (PBE-GGA, relaxed)" formation_energy_uncorrected_kj_per_mol_atoms=-133.6 m_tot_mub_per_atom=0.000 dft_energy_ev_per_atom=-5.234 space_group="R-3m, No. 166" pbc="T T T"
Pr 0.000 0.000 0.000
Pr 3.464 0.136 2.972
Pr 17.443 1.071 9.743
Ho 13.833 0.922 6.754
Ho 7.073 0.285 5.961
Te 16.018 1.318 4.445
Te 4.888 -0.111 8.269
Te 8.884 0.646 3.608
Te 12.022 0.561 9.107
Te 19.578 1.463 7.428
Te 1.329 -0.256 5.286

6.
17
Lattice="8.787 0.000 0.000 -2.929 8.285 0.000 -2.929 -4.142 7.175" Properties=species:S:1:pos:R:3 comment="RbCd12In4 (PBE-GGA, relaxed)" delta_e_f_ev_per_atom=0.13 m_tot_mub_per_atom=0.000 dft_energy_ev_per_atom=-1.213 space_group="Im-3, No. 204" pbc="T T T"
Rb 0.000 0.000 0.000
Cd 5.821 2.097 1.482
Cd 1.210 3.574 1.075
Cd 4.648 -1.424 4.618
Cd 0.037 -1.810 6.100
Cd -1.719 5.567 2.557
Cd 1.719 0.569 6.100
Cd 2.966 -0.235 2.557
Cd -0.037 4.377 4.618
Cd 2.892 5.953 1.075
Cd 4.139 3.287 3.542
Cd -1.210 0.856 3.633
Cd -2.892 2.045 5.693
In -1.465 4.142 0.000
In 4.394 0.000 0.000
In 1.465 2.071 3.587
In -1.465 -2.071 3.587

7.
8
Lattice="-1.913 -0.153 3.215 3.218 -0.024 1.914 -0.228 14.881 0.572" Properties=species:S:1:pos:R:3 comment="Tm4Mg3Cd (PBE-GGA, relaxed)" delta_e_f_ev_per_atom=-0.12 polymorph_energy_ev_per_atom=0.000 m_tot_mub_per_atom=0.000 dft_energy_ev_per_atom=-3.072 space_group="P4/mmm, No. 123" pbc="T T T"
Mg 0.596 3.625 2.707
Mg 0.538 7.352 2.850
Mg 0.481 11.080 2.993
Tm -0.200 13.060 0.502
Tm -0.028 1.821 0.070
Tm -0.085 5.561 0.214
Tm -0.143 9.320 0.358
Cd 0.652 -0.088 2.564

8.
12
Lattice="-2.968 -0.334 4.876 -0.868 -5.504 -0.905 5.880 1.363 3.673" Properties=species:S:1:pos:R:3 comment="LiHoGaPt3 (PBE-GGA, relaxed)" delta_e_f_ev_per_atom=-0.75 m_tot_mub_per_atom=0.000 dft_energy_ev_per_atom=-5.354 space_group="Cmcm, No. 63" pbc="T T T"
Li 2.916 -3.879 3.186
Li -0.872 -0.595 4.457
Ho 1.449 -1.187 5.829
Ho 0.595 -3.287 1.814
Ga 3.385 -1.136 3.659
Ga -1.341 -3.339 3.984
Pt 1.304 -0.605 2.428
Pt -0.207 -1.314 -0.216
Pt -2.145 -4.357 1.749
Pt -1.691 -1.481 2.222
Pt -0.661 -4.190 -0.689
Pt 0.740 -3.869 5.215

9.
11
Lattice="3.223 0.000 0.000 0.000 9.524 0.000 0.000 -4.762 8.248" Properties=species:S:1:pos:R:3 comment="Hf6TiIn4 (PBE-GGA, relaxed)" delta_e_f_ev_per_atom=0.05 m_tot_mub_per_atom=0.187 dft_energy_ev_per_atom=-7.088 space_group="P-6m2, No. 187" pbc="T T T"
Hf 0.000 4.762 0.287
Hf 1.611 2.091 6.706
Hf 0.000 2.629 3.981
Hf 0.000 6.895 3.981
Hf 1.611 -2.091 6.706
Hf 1.611 0.000 3.085
Ti 0.000 0.000 0.000
In 1.611 4.762 5.564
In 1.611 2.324 1.342
In 1.611 7.200 1.342
In 0.000 0.000 5.499

10.
10
Lattice="7.001 0.000 0.000 0.000 7.001 0.000 0.000 0.000 8.536" Properties=species:S:1:pos:R:3 comment="MnI2Br2 (PBE-GGA, relaxed)" formation_energy_uncorrected_kj_per_mol_atoms=-22.3 m_tot_mub_per_atom=0.981 dft_energy_ev_per_atom=-3.354 space_group="P4/mbm, No. 127" pbc="T T T"
I 0.976 4.477 4.268
I 4.477 6.025 4.268
I 6.025 2.524 4.268
I 2.524 0.976 4.268
Mn 0.000 0.000 0.000
Mn 3.500 3.500 0.000
Br 2.216 5.716 0.000
Br 5.716 4.785 0.000
Br 4.785 1.285 0.000
Br 1.285 2.216 0.000